--- P ---
A plane-wave DFT calculation with PBE-GGA was carried out for a relaxed structure of HfZrIn2.

Calculated volume in Å³/cell: 354.08
Spin magnetization in Bohr magnetons per cell: 0.00
Density in Mg/m³: 9.37

Unit cell a=7.0745 b=7.0745 c=7.0745 alpha=90.00 beta=90.00 gamma=90.00
Last column: nearest neighbours and their distance in Å.
Space group Fm-3m (No. 225)
Asymmetric unit:
Hf1 0.0000 0.0000 0.0000 [4 per cell]  8 In 3.06
Zr1 0.0000 0.0000 0.5000 [4 per cell]  8 In 3.06
In1 0.2500 0.2500 0.2500 [8 per cell]  4 Zr 3.06, 4 Hf 3.06


--- Q ---
A plane-wave DFT calculation with PBE-GGA was carried out for a relaxed structure of HfZrIn2.

Calculated volume in Å³/cell: 311.27
Spin magnetization in Bohr magnetons per cell: 0.00
Density in Mg/m³: 7.99

Unit cell a=4.4827 b=4.4827 c=17.8869 alpha=90.00 beta=90.00 gamma=120.00
Last column: nearest neighbours and their distance in Å.
Space group R3m (No. 160, hexagonal axes)
Asymmetric unit:
Hf1 0.0000 0.0000 0.0000 [3 per cell]  6 In 2.91-3.10
Zr1 0.0000 0.0000 0.1834 [3 per cell]  6 In 2.92-3.03
In1 0.0000 0.0000 0.5922 [3 per cell]  3 Hf 2.91, 3 Zr 2.92, 1 In 3.04
In2 0.0000 0.0000 0.7620 [3 per cell]  3 Zr 3.03, 1 In 3.04, 3 Hf 3.10


--- R ---
A plane-wave DFT calculation with PBE-GGA was carried out for a relaxed structure of HfZrIn2.

Calculated volume in Å³/cell: 383.30
Spin magnetization in Bohr magnetons per cell: 0.00
Density in Mg/m³: 8.65

Unit cell a=7.9566 b=7.9566 c=6.0547 alpha=90.00 beta=90.00 gamma=90.00
Last column: nearest neighbours and their distance in Å.
Space group I-42d (No. 122)
Asymmetric unit:
Hf1 0.0000 0.0000 0.0000 [4 per cell]  4 In 2.90, 2 Zr 3.03
Zr1 0.0000 0.0000 0.5000 [4 per cell]  4 In 2.92, 2 Hf 3.03
In1 0.2480 0.7500 0.1250 [8 per cell]  2 Hf 2.90, 2 Zr 2.92, 2 In 3.03


In terms of stability, P leads; the second structure lies 193 meV/atom higher.


--- P ---
A plane-wave DFT calculation with PBE-GGA was carried out for a relaxed structure of Hf2Zr4In.

Calculated volume in Å³/cell: 323.34
Spin magnetization in Bohr magnetons per cell: 0.00
Density in Mg/m³: 8.59

Unit cell a=5.6752 b=5.6080 c=10.1595 alpha=90.00 beta=90.00 gamma=90.00
Last column: nearest neighbours and their distance in Å.
Space group Pmna (No. 53)
Asymmetric unit:
Hf1 0.0000 0.2452 0.0266 [4 per cell]  2 Hf 2.80-2.91
Zr1 0.0000 0.0386 0.3287 [4 per cell]  2 In 3.12-3.49, 6 Zr 3.17-3.31, 3 Hf 3.28-3.40
Zr2 0.2500 0.4473 0.7500 [4 per cell]  4 Zr 2.84-3.17, 2 In 2.92
In1 0.0000 0.5000 0.5000 [2 per cell]  6 Zr 2.92-3.12, 4 Hf 3.19


--- Q ---
A plane-wave DFT calculation with PBE-GGA was carried out for a relaxed structure of Hf2Zr4In.

Calculated volume in Å³/cell: 328.28
Spin magnetization in Bohr magnetons per cell: 0.00
Density in Mg/m³: 8.46

Unit cell a=5.6732 b=7.5119 c=8.5815 alpha=79.23 beta=77.09 gamma=67.97
Last column: nearest neighbours and their distance in Å.
Space group P1 (No. 1)
Asymmetric unit:
Hf1 0.0000 0.0000 0.0000 [1 per cell]  8 Zr 2.96-3.18, 2 Hf 2.98-3.14
Hf2 0.1603 0.5803 0.9713 [1 per cell]  2 Hf 2.98-3.02, 6 Zr 3.04-3.25
Hf3 0.4006 0.1679 0.1137 [1 per cell]  6 Zr 2.94-3.16, 2 Hf 3.02-3.14
Hf4 0.6748 0.0685 0.4696 [1 per cell]  2 In 2.94-3.02, 5 Zr 3.01-3.20
Zr1 0.1052 0.2905 0.4273 [1 per cell]  2 Hf 2.94-3.10, 3 In 3.14-3.27, 3 Zr 3.18-3.29
Zr2 0.2048 0.8435 0.3055 [1 per cell]  3 Zr 2.93-3.15, 3 Hf 2.96-3.10, 2 In 2.98-3.19
Zr3 0.2602 0.8745 0.6560 [1 per cell]  4 Zr 3.12-3.29, 3 In 3.14-3.39, 3 Hf 3.14-3.25
Zr4 0.2778 0.2424 0.7651 [1 per cell]  5 Zr 2.96-3.18, 2 In 3.00-3.24, 4 Hf 3.04-3.15
Zr5 0.6081 0.8352 0.9160 [1 per cell]  4 Hf 3.00-3.18, 1 In 3.02, 3 Zr 3.14-3.20
Zr6 0.7019 0.3543 0.8134 [1 per cell]  3 Hf 2.96-3.16, 3 Zr 2.96-3.07, 2 In 3.01-3.05
Zr7 0.7384 0.3869 0.1577 [1 per cell]  3 Zr 3.01-3.26, 1 In 3.02, 4 Hf 3.07-3.29
Zr8 0.7662 0.7358 0.2658 [1 per cell]  4 Zr 2.93-3.20, 2 In 3.04-3.16, 3 Hf 3.06-3.14
In1 0.4963 0.4842 0.4963 [1 per cell]  1 Hf 2.94, 8 Zr 2.98-3.27, 1 In 3.09
In2 0.9095 0.6549 0.6133 [1 per cell]  7 Zr 3.01-3.24, 1 Hf 3.02, 1 In 3.09


In terms of stability, Q leads; the second structure lies 10 meV/atom higher.


--- P ---
A plane-wave DFT calculation with PBE-GGA was carried out for a relaxed structure of Hf3ZrIn.

Calculated volume in Å³/cell: 135.10
Spin magnetization in Bohr magnetons per cell: 0.00
Density in Mg/m³: 9.11

Unit cell a=5.1312 b=5.1312 c=5.1312 alpha=90.00 beta=90.00 gamma=90.00
Last column: nearest neighbours and their distance in Å.
Space group Pm-3m (No. 221)
Asymmetric unit:
Hf1 0.0000 0.0000 0.5000 [3 per cell]  2 Zr 2.57
Zr1 0.0000 0.0000 0.0000 [1 per cell]  6 Hf 2.57
In1 0.5000 0.5000 0.5000 [1 per cell]  12 Hf 3.63


--- Q ---
A plane-wave DFT calculation with PBE-GGA was carried out for a relaxed structure of Hf3ZrIn.

Calculated volume in Å³/cell: 141.08
Spin magnetization in Bohr magnetons per cell: 2.62
Density in Mg/m³: 8.73

Unit cell a=5.2058 b=5.2058 c=5.2058 alpha=90.00 beta=90.00 gamma=90.00
Last column: nearest neighbours and their distance in Å.
Space group Pm-3m (No. 221)
Asymmetric unit:
Hf1 0.0000 0.0000 0.5000 [3 per cell]  2 In 2.60
Zr1 0.5000 0.5000 0.5000 [1 per cell]  12 Hf 3.68
In1 0.0000 0.0000 0.0000 [1 per cell]  6 Hf 2.60


--- R ---
A plane-wave DFT calculation with PBE-GGA was carried out for a relaxed structure of Hf3ZrIn.

Calculated volume in Å³/cell: 235.47
Spin magnetization in Bohr magnetons per cell: 0.00
Density in Mg/m³: 10.46

Unit cell a=4.5102 b=7.0807 c=7.3732 alpha=90.00 beta=90.00 gamma=90.00
Last column: nearest neighbours and their distance in Å.
Space group Pmmn (No. 59, origin choice 2)
Asymmetric unit:
Hf1 0.2500 0.0457 0.2459 [4 per cell]  4 Hf 2.89-3.04, 3 Zr 3.05-3.08, 2 In 3.08
Hf2 0.2500 0.7500 0.9490 [2 per cell]  1 Zr 2.96, 6 Hf 3.03-3.04, 2 In 3.13
Zr1 0.2500 0.7500 0.5476 [2 per cell]  7 Hf 2.96-3.08, 2 In 3.18
In1 0.2500 0.2500 0.7570 [2 per cell]  6 Hf 3.08-3.13, 2 Zr 3.18


In terms of stability, R leads; the second structure lies 944 meV/atom higher.